DFT (PBE-GGA) results for a geometry-optimized Y6AlSe5 structure.

Unit cell a=7.1684 b=12.3514 c=7.1398 alpha=90.00 beta=109.42 gamma=90.00
Space group C2/m (No. 12)
Symmetry-distinct sites (fractional):
Y 0.2450 0.0000 0.2546
Y 0.2454 0.1639 0.7460
Al 0.0000 0.0000 0.5000
Se 0.0000 0.1691 0.0000
Se 0.0000 0.3338 0.5000
Se 0.0000 0.5000 0.0000

- E_form (uncorrected): -1.55 eV per atom

DFT (PBE-GGA) results for a geometry-optimized InSbTe2C structure.

Unit cell a=4.9307 b=4.9307 c=4.8532 alpha=90.00 beta=90.00 gamma=90.00
Space group P4/mmm (No. 123)
Symmetry-distinct sites (fractional):
In 0.0000 0.0000 0.0000
Sb 0.5000 0.5000 0.0000
Te 0.0000 0.5000 0.5000
C 0.5000 0.5000 0.5000

- Excess energy over the best structure of this formula in the dataset: 0 meV/atom
- E_form (uncorrected): 0.87 eV per atom

The records above yield total magnetic moment values of 0.00; 0.00 Bohr magnetons per cell, respectively.